A geometry-optimized Pr2Ho5Sc2 structure. Source: Alexandria, functional PBE. Values from VASP.

```
&SYSTEM
  ibrav = 0, nat = 9, ntyp = 3
/
ATOMIC_SPECIES
Pr 140.91 Pr.upf
Ho 164.93 Ho.upf
Sc 44.96 Sc.upf
CELL_PARAMETERS angstrom
6.072 0.000 0.000
1.004 5.993 0.000
2.021 0.712 7.542
ATOMIC_POSITIONS crystal
Pr 0.221 0.444 0.113
Pr 0.779 0.556 0.887
Ho 0.000 0.000 0.000
Ho 0.116 0.221 0.553
Ho 0.448 0.887 0.230
Ho 0.552 0.113 0.770
Ho 0.884 0.779 0.447
Sc 0.335 0.664 0.662
Sc 0.665 0.336 0.338
```

Computed properties:
Total moment in Bohr magnetons per cell: 0.00
Formation energy in eV per atom: 0.04
Space-group type: P-1, No. 2